VASP calculation (GGA-PBE) on a relaxed CsZrSn2 crystal.

Properties
ΔE to the lowest computed polymorph, meV/atom: 241

Cell and atoms, written as CIF:
```
data_CsZrSn2
_cell_length_a 7.858
_cell_length_b 7.858
_cell_length_c 7.858
_cell_angle_alpha 90.00
_cell_angle_beta 90.00
_cell_angle_gamma 90.00
_space_group_name_H-M_alt 'F m -3 m'
_space_group_IT_number 225
_space_group_name_Hall '-F 4 2 3'
loop_
_atom_site_label
_atom_site_fract_x
_atom_site_fract_y
_atom_site_fract_z
_atom_site_occupancy
Cs1 0.000 0.000 0.000 1
Zr1 0.000 0.000 0.500 1
Sn1 0.250 0.250 0.250 1
```